Entry 1:
Computed, not measured: a relaxed structure of Nd2Sn6Ru at the GGA-PBE level of DFT.

Summary:
Final energy: -5.046 eV per atom
Magnetization: 0.00 Bohr magnetons per cell
Volume: 27.35 Å³ per atom

Cell lengths 4.028, 7.018, 9.405 Å; angles 112.20, 90.00, 90.00 degrees
Sites, in units of the cell vectors:
1 Nd 0.500 0.721 0.440
2 Nd 0.500 0.279 0.560
3 Sn 0.000 0.341 0.275
4 Sn 0.000 0.068 0.727
5 Sn 0.000 0.659 0.725
6 Sn 0.500 0.271 0.001
7 Sn 0.000 0.932 0.273
8 Sn 0.500 0.729 0.999
9 Ru 0.000 0.000 0.000

---

Entry 2:
Computed, not measured: a relaxed structure of Nd2SnRu at the GGA-PBE level of DFT.

Summary:
Final energy: -6.036 eV per atom
Magnetization: 0.00 Bohr magnetons per cell
Volume: 25.26 Å³ per atom

Cell lengths 3.453, 6.917, 8.750 Å; angles 90.00, 90.00, 104.75 degrees
Sites, in units of the cell vectors:
1 Nd 0.370 0.734 0.555
2 Nd 0.630 0.266 0.445
3 Nd 0.370 0.734 0.945
4 Nd 0.630 0.266 0.055
5 Sn 0.949 0.896 0.250
6 Sn 0.051 0.104 0.750
7 Ru 0.726 0.441 0.750
8 Ru 0.274 0.559 0.250

---

Entry 3:
Computed, not measured: a relaxed structure of SrNdRu at the GGA-PBE level of DFT.

Summary:
Final energy: -5.190 eV per atom
Magnetization: 0.00 Bohr magnetons per cell
Volume: 30.39 Å³ per atom

Cell lengths 5.049, 10.053, 7.619 Å; angles 90.00, 109.45, 90.00 degrees
Sites, in units of the cell vectors:
1 Sr 0.393 0.876 0.785
2 Sr 0.107 0.376 0.215
3 Sr 0.607 0.124 0.215
4 Sr 0.893 0.624 0.785
5 Nd 0.149 0.875 0.299
6 Nd 0.351 0.375 0.701
7 Nd 0.851 0.125 0.701
8 Nd 0.649 0.625 0.299
9 Ru 0.752 0.875 0.503
10 Ru 0.748 0.375 0.497
11 Ru 0.248 0.125 0.497
12 Ru 0.252 0.625 0.503